Density functional theory data (PBE-GGA) for a geometry-optimized Ce2TePd9 structure.

Lattice parameters (Å, degrees): 4.1474 4.1474 12.3430 90.00 90.00 90.00
Last column: nearest neighbours and their distance in Å.
Space group P4/mmm (No. 123)
Symmetry-distinct sites (fractional):
1 Ce 0.0000 0.0000 0.1707 (multiplicity 2)  12 Pd 2.86-2.96
2 Te 0.0000 0.0000 0.5000 (multiplicity 1)  12 Pd 2.93-2.95
3 Pd 0.0000 0.5000 0.0000 (multiplicity 2)  8 Pd 2.92-2.93, 4 Ce 2.96
4 Pd 0.0000 0.5000 0.3305 (multiplicity 4)  2 Ce 2.86, 8 Pd 2.90-2.95, 2 Te 2.95
5 Pd 0.5000 0.5000 0.1660 (multiplicity 2)  8 Pd 2.90-2.92, 4 Ce 2.93
6 Pd 0.5000 0.5000 0.5000 (multiplicity 1)  4 Te 2.93, 8 Pd 2.95

The value obtained for the uncorrected formation energy is -7.37 eV/f.u. Its total magnetic moment is 0.03 μB/atom. The total energy comes out at -5.760 eV/atom.